No. 1
A relaxed AgPd3Ru crystal. Source: the Alexandria database, functional GGA-PBE.

Results
E_form   1.654 eV per atom
N(E_F)   1.8531 states/eV/atom
Magnetization   3.4 μB per cell

a = 4.8410 Å, b = 4.8410 Å, c = 4.8410 Å
α = 90.00°, β = 90.00°, γ = 90.00°
Sites, in units of the cell vectors:
Ag (0.0000, 0.0000, 0.0000)
Pd (0.0000, 0.0000, 0.5000)
Pd (0.0000, 0.5000, 0.0000)
Pd (0.5000, 0.0000, 0.0000)
Ru (0.5000, 0.5000, 0.5000)

---

No. 2
A relaxed AgPdRu2 crystal. Source: the Alexandria database, functional GGA-PBE.

Results
E_form   1.005 eV per atom
N(E_F)   1.3039 states/eV/atom
Magnetization   4.5 μB per cell

a = 5.7480 Å, b = 5.7480 Å, c = 5.7480 Å
α = 101.70°, β = 101.70°, γ = 126.46°
Sites, in units of the cell vectors:
Ag (0.0000, 0.0000, 0.0000)
Ag (0.7500, 0.2500, 0.5000)
Pd (0.2500, 0.7500, 0.5000)
Pd (0.5000, 0.5000, 0.0000)
Ru (0.1466, 0.6250, 0.0216)
Ru (0.3750, 0.3966, 0.5216)
Ru (0.6034, 0.1250, 0.9784)
Ru (0.8750, 0.8534, 0.4784)

---

No. 3
A relaxed AgPd3Ru crystal. Source: the Alexandria database, functional GGA-PBE.

Results
E_form   1.148 eV per atom
N(E_F)   1.2578 states/eV/atom
Magnetization   1.4 μB per cell

a = 4.7872 Å, b = 4.7872 Å, c = 4.7872 Å
α = 90.00°, β = 90.00°, γ = 90.00°
Sites, in units of the cell vectors:
Ag (0.0000, 0.0000, 0.0000)
Pd (0.0000, 0.5000, 0.5000)
Pd (0.5000, 0.0000, 0.5000)
Pd (0.5000, 0.5000, 0.0000)
Ru (0.5000, 0.5000, 0.5000)

---

No. 4
A relaxed AgSbPdRu crystal. Source: the Alexandria database, functional GGA-PBE.

Results
Formation energy without anion corrections   0.02 eV/atom
N(E_F)   0.8823 states/eV/atom
Magnetization   0.0 μB per cell

a = 4.5628 Å, b = 4.5628 Å, c = 4.5628 Å
α = 60.00°, β = 60.00°, γ = 60.00°
Sites, in units of the cell vectors:
Ag (0.0000, 0.0000, 0.0000)
Sb (0.5000, 0.5000, 0.5000)
Pd (0.2500, 0.2500, 0.2500)
Ru (0.7500, 0.7500, 0.7500)